Entry 1:
Entry from Alexandria: Na2TlCrAu at its PBEsol-relaxed geometry (meta-GGA SCAN).

a b c (Å): 5.3867 5.3867 5.2160
angles (deg): 90.00 90.00 90.00
Last column: nearest neighbours and their distance in Å.
Fractional positions:
Na 0.0000 0.5000 0.0000  2 Cr 2.69
Na 0.5000 0.0000 0.0000  2 Cr 2.69
Tl 0.0000 0.0000 0.5000  2 Cr 2.61
Cr 0.0000 0.0000 0.0000  2 Tl 2.61, 4 Na 2.69
Au 0.5000 0.5000 0.5000  8 Na 3.75, 4 Tl 3.81

Values from the calculation:
**SG**: P4/mmm (123)
**Total moment**: 5.294 μB per formula unit
**Formation enthalpy at 0 K**: 0.57 eV per atom
**Density of states at the Fermi level**: 2.2 states/eV/f.u.


Entry 2:
Entry from Alexandria: Nb3CrAu at its PBEsol-relaxed geometry (meta-GGA SCAN).

a b c (Å): 4.5258 4.5258 4.5258
angles (deg): 90.00 90.00 90.00
Last column: nearest neighbours and their distance in Å.
Fractional positions:
Nb 0.0000 0.0000 0.5000  2 Cr 2.26
Nb 0.0000 0.5000 0.0000  2 Cr 2.26
Nb 0.5000 0.0000 0.0000  2 Cr 2.26
Cr 0.0000 0.0000 0.0000  6 Nb 2.26
Au 0.5000 0.5000 0.5000  12 Nb 3.20

Values from the calculation:
**SG**: Pm-3m (221)
**Total moment**: 0.000 μB per formula unit
**Formation enthalpy at 0 K**: 0.75 eV per atom
**Density of states at the Fermi level**: 4.3 states/eV/f.u.


Entry 3:
Entry from Alexandria: NbCr2Au2 at its PBEsol-relaxed geometry (meta-GGA SCAN).

a b c (Å): 6.1164 6.1164 6.1164
angles (deg): 143.87 143.87 52.02
Last column: nearest neighbours and their distance in Å.
Fractional positions:
Nb 0.0000 0.0000 0.0000  8 Cr 2.84
Cr 0.4139 0.4139 0.0000  1 Cr 1.89
Cr 0.5861 0.5861 0.0000  1 Cr 1.89
Au 0.2500 0.7500 0.5000  4 Cr 2.62, 4 Au 2.68
Au 0.7500 0.2500 0.5000  4 Cr 2.62, 4 Au 2.68

Values from the calculation:
**SG**: I4/mmm (139)
**Total moment**: 0.000 μB per formula unit
**Formation enthalpy at 0 K**: 0.28 eV per atom
**Density of states at the Fermi level**: 3.4 states/eV/f.u.